[1]
The following is a PBE calculation of a relaxed structure of Nd6Er2Tm3, from Alexandria.

```
11
Lattice="6.648 0.000 0.000 -3.128 5.876 0.000 -0.546 -0.802 9.428" Properties=species:S:1:pos:R:3 pbc="T T T"
Nd -1.330 2.797 1.622
Nd -0.522 3.750 4.726
Nd 0.918 1.558 7.366
Nd 2.056 3.516 2.062
Nd 3.495 1.324 4.702
Nd 4.304 2.278 7.806
Er 3.059 0.192 1.593
Er -0.085 4.882 7.835
Tm 0.000 0.000 0.000
Tm 0.272 0.499 3.453
Tm 2.701 4.575 5.975
```

Calculated values
E above lowest polymorph = 0.00 kJ/mol of atoms
space-group type = P-1
crystal system = triclinic
D(E_F) = 15.724 states/eV per cell
ρ = 7.7 Mg/m³

=====

[2]
The following is a PBE calculation of a relaxed structure of Nd4ErTm2, from Alexandria.

```
14
Lattice="0.000 12.119 3.223 5.976 0.000 3.223 5.976 12.119 0.000" Properties=species:S:1:pos:R:3 pbc="T T T"
Nd 2.146 2.572 1.410
Nd 5.134 3.488 3.022
Nd 3.830 9.547 1.410
Nd 6.601 10.410 3.223
Nd 5.350 13.828 3.223
Nd 8.338 16.469 4.835
Nd 6.817 20.750 3.022
Nd 9.589 19.887 4.835
Er 5.976 12.119 0.028
Er 2.988 6.059 1.640
Tm 6.268 6.880 2.861
Tm 8.671 12.940 4.473
Tm 5.683 17.358 2.861
Tm 3.280 11.298 4.473
```

Calculated values
E above lowest polymorph = 0.00 kJ/mol of atoms
space-group type = Fdd2
crystal system = orthorhombic
D(E_F) = 19.510 states/eV per cell
ρ = 7.7 Mg/m³

=====

[3]
The following is a PBE calculation of a relaxed structure of Nd3Er4Tm8, from Alexandria.

```
15
Lattice="6.633 -6.408 0.000 6.633 6.408 0.000 -3.337 0.000 5.766" Properties=species:S:1:pos:R:3 pbc="T T T"
Nd 0.000 0.000 0.000
Nd 3.317 3.204 0.000
Nd 3.317 -3.204 0.000
Er 1.648 3.204 2.883
Er 1.648 -3.204 2.883
Er 6.633 0.000 0.000
Er 4.964 0.000 2.883
Tm 4.964 4.634 2.883
Tm -0.124 0.000 5.568
Tm 1.533 0.000 2.835
Tm 6.633 3.223 0.000
Tm 6.633 -3.223 0.000
Tm 8.396 0.000 2.931
Tm 10.053 0.000 0.198
Tm 4.964 -4.634 2.883
```

Calculated values
space-group type = C2/m
raw total energy = -4.15 eV per atom
crystal system = monoclinic
D(E_F) = 29.280 states/eV per cell
ρ = 8.3 Mg/m³

=====

[4]
The following is a PBE calculation of a relaxed structure of Nd6Er5Tm, from Alexandria.

```
12
Lattice="-2.559 5.009 7.657 2.559 -5.009 7.657 2.559 5.009 -7.657" Properties=species:S:1:pos:R:3 pbc="T T T"
Nd 2.559 2.504 -2.551
Nd 0.000 2.503 0.000
Nd 2.559 2.504 2.551
Nd 0.000 2.506 5.105
Nd 0.000 7.516 0.000
Nd 0.000 2.506 10.208
Er 0.000 0.000 2.550
Er 2.559 0.000 5.105
Er 0.000 0.000 7.657
Er 0.000 5.009 2.552
Er 0.000 0.000 12.763
Tm 2.559 0.000 0.000
```

Calculated values
E above lowest polymorph = 0.43 kJ/mol of atoms
space-group type = Immm
crystal system = orthorhombic
D(E_F) = 16.043 states/eV per cell
ρ = 7.9 Mg/m³

=====

[5]
The following is a PBE calculation of a relaxed structure of Nd2Er5Tm5, from Alexandria.

```
12
Lattice="7.485 -2.493 0.000 7.485 2.493 0.000 -4.986 0.000 9.974" Properties=species:S:1:pos:R:3 pbc="T T T"
Nd 0.000 0.000 2.484
Nd 9.983 0.000 7.491
Er 2.504 0.000 4.985
Er 4.971 0.000 2.490
Er 7.485 0.000 0.000
Er 5.013 0.000 7.484
Er 7.480 0.000 4.989
Tm -2.493 0.000 4.987
Tm 2.513 0.000 0.000
Tm -0.017 0.000 7.476
Tm 10.001 0.000 2.498
Tm 7.471 0.000 9.974
```

Calculated values
space-group type = C2/m
raw total energy = -4.53 eV per atom
crystal system = monoclinic
D(E_F) = 17.417 states/eV per cell
ρ = 8.8 Mg/m³

=====

[6]
The following is a PBE calculation of a relaxed structure of Nd3Er2Tm, from Alexandria.

```
12
Lattice="6.588 -1.772 0.000 6.588 1.772 0.000 -3.826 0.000 17.248" Properties=species:S:1:pos:R:3 pbc="T T T"
Nd 0.255 0.000 2.918
Nd 0.938 0.000 11.415
Nd 4.867 0.000 0.173
Nd 4.483 0.000 17.074
Nd 8.412 0.000 5.833
Nd 9.095 0.000 14.330
Er -0.605 0.000 14.379
Er 2.939 0.000 8.624
Er 6.411 0.000 8.624
Er 9.955 0.000 2.869
Tm 4.844 0.000 5.491
Tm 4.506 0.000 11.757
```

Calculated values
E above lowest polymorph = 9.79 kJ/mol of atoms
space-group type = C2/m
crystal system = monoclinic
D(E_F) = 18.957 states/eV per cell
ρ = 7.7 Mg/m³

=====

Repeat the third record exactly.
The following is a PBE calculation of a relaxed structure of Nd3Er4Tm8, from Alexandria.

```
15
Lattice="6.633 -6.408 0.000 6.633 6.408 0.000 -3.337 0.000 5.766" Properties=species:S:1:pos:R:3 pbc="T T T"
Nd 0.000 0.000 0.000
Nd 3.317 3.204 0.000
Nd 3.317 -3.204 0.000
Er 1.648 3.204 2.883
Er 1.648 -3.204 2.883
Er 6.633 0.000 0.000
Er 4.964 0.000 2.883
Tm 4.964 4.634 2.883
Tm -0.124 0.000 5.568
Tm 1.533 0.000 2.835
Tm 6.633 3.223 0.000
Tm 6.633 -3.223 0.000
Tm 8.396 0.000 2.931
Tm 10.053 0.000 0.198
Tm 4.964 -4.634 2.883
```

Calculated values
space-group type = C2/m
raw total energy = -4.15 eV per atom
crystal system = monoclinic
D(E_F) = 29.280 states/eV per cell
ρ = 8.3 Mg/m³